(1)
The following is a PBE calculation of an optimized crystal structure of Dy3YSb4, from the Alexandria database.

Cell and atoms, written as POSCAR:
```
Dy3YSb4
1.0
-5.720 0.053 -2.390
0.716 -5.875 -1.845
-2.281 -1.978 5.415
Dy Sb Y
3 4 1
Cartesian
-2.502 -2.911 -2.117 Dy
-0.782 -3.927 1.785 Dy
-4.000 -0.962 1.512 Dy
0.358 -2.938 -0.922 Sb
-2.860 0.027 -1.195 Sb
-1.141 -0.989 2.707 Sb
-3.642 -3.900 0.590 Sb
0.000 0.000 0.000 Y
```

Output
* final energy: -5.741 eV per atom
* space group: Pm-3m (221)
* ΔE_f (raw): -9.17 eV/f.u.

(2)
The following is a PBE calculation of an optimized crystal structure of Dy5Y3Sb8, from the Alexandria database.

Cell and atoms, written as POSCAR:
```
Dy5Y3Sb8
1.0
-0.475 8.566 1.848
-7.177 3.266 3.852
0.345 2.716 8.338
Y Dy Sb
3 5 8
Cartesian
-0.065 5.641 5.093 Y
-3.416 2.991 6.095 Y
0.173 1.358 4.169 Y
-0.238 4.283 0.924 Dy
-3.589 1.633 1.926 Dy
-3.826 5.916 2.850 Dy
-3.653 7.274 7.019 Dy
0.000 0.000 0.000 Dy
-1.654 4.996 7.682 Sb
-5.415 5.272 5.433 Sb
-5.478 10.910 10.532 Sb
-1.828 3.638 3.506 Sb
-5.653 9.552 6.357 Sb
-1.891 9.275 8.605 Sb
-5.240 6.628 9.606 Sb
-2.067 7.920 4.432 Sb
```

Output
* final energy: -5.856 eV per atom
* space group: R-3m (166)
* ΔE_f (raw): -18.32 eV/f.u.

(3)
The following is a PBE calculation of an optimized crystal structure of Dy5YSb4, from the Alexandria database.

Cell and atoms, written as POSCAR:
```
Dy5YSb4
1.0
-2.338 0.824 3.518
3.293 -6.769 3.775
6.844 6.675 0.352
Sb Y Dy
4 1 5
Cartesian
6.858 2.364 6.636 Sb
1.044 2.225 2.805 Sb
6.755 -1.495 4.840 Sb
0.941 -1.634 1.008 Sb
-1.169 0.412 1.759 Y
4.560 -3.264 3.796 Dy
3.239 3.994 3.849 Dy
4.627 0.580 5.572 Dy
3.172 0.150 2.073 Dy
0.478 -2.973 3.646 Dy
```

Output
* final energy: -5.330 eV per atom
* space group: C2/m (12)
* ΔE_f (raw): -7.33 eV/f.u.

(4)
The following is a PBE calculation of an optimized crystal structure of Dy5YSb6, from the Alexandria database.

Cell and atoms, written as POSCAR:
```
Dy5YSb6
1.0
-2.320 -6.389 3.393
2.306 -6.002 -4.051
6.745 -3.192 1.439
Dy Sb Y
5 6 1
Cartesian
3.723 -6.323 1.983 Dy
3.019 -3.065 -0.869 Dy
6.032 -6.129 -1.742 Dy
3.007 -9.260 -1.201 Dy
-0.007 -6.196 -0.329 Dy
3.717 -9.421 1.813 Sb
-0.012 -9.291 -0.492 Sb
0.703 -6.356 2.686 Sb
6.027 -9.227 -1.904 Sb
-0.003 -3.101 -0.166 Sb
3.013 -6.163 -1.032 Sb
0.000 0.000 0.000 Y
```

Output
* final energy: -5.655 eV per atom
* space group: C2/m (12)
* ΔE_f (raw): -13.66 eV/f.u.

(5)
The following is a PBE calculation of an optimized crystal structure of Dy5Y5Sb6, from the Alexandria database.

Cell and atoms, written as POSCAR:
```
Dy5Y5Sb6
1.0
6.317 0.000 0.000
0.000 7.811 -4.455
0.000 -0.046 8.992
Sb Y Dy
6 5 5
Cartesian
3.159 3.018 1.763 Sb
0.000 3.036 -1.731 Sb
3.159 7.782 1.041 Sb
0.000 -0.017 3.495 Sb
3.159 4.728 6.268 Sb
0.000 4.745 2.772 Sb
3.159 -0.010 2.224 Y
0.000 5.879 -3.353 Y
0.000 -0.034 6.768 Y
3.159 5.840 3.412 Y
3.159 1.933 -1.101 Y
0.000 1.923 1.124 Dy
1.579 2.573 4.510 Dy
1.579 5.192 0.027 Dy
4.738 5.192 0.027 Dy
4.738 2.573 4.510 Dy
```

Output
* final energy: -5.951 eV per atom
* space group: Amm2 (38)
* ΔE_f (raw): -15.16 eV/f.u.

(6)
The following is a PBE calculation of an optimized crystal structure of DyY3Sb2, from the Alexandria database.

Cell and atoms, written as POSCAR:
```
DyY3Sb2
1.0
-0.598 2.699 3.529
-4.258 0.669 -1.233
-2.398 -6.646 4.677
Sb Y Dy
2 3 1
Cartesian
-2.799 -1.524 0.691 Sb
-2.027 -3.439 5.134 Sb
-3.684 -3.977 2.417 Y
-1.142 -0.986 3.408 Y
0.000 0.000 0.000 Y
-2.428 1.684 1.148 Dy
```

Output
* final energy: -6.201 eV per atom
* space group: P-4m2 (115)
* ΔE_f (raw): -4.96 eV/f.u.
* excess energy over the best structure of this formula in the dataset: 0.00 kcal/mol of atoms

(7)
The following is a PBE calculation of an optimized crystal structure of Dy3YSb, from the Alexandria database.

Cell and atoms, written as POSCAR:
```
Dy3YSb
1.0
-6.057 5.709 -2.372
-5.404 -6.489 -1.816
0.477 4.160 8.794
Sb Dy Y
4 12 4
Cartesian
-5.010 5.932 2.552 Sb
-6.056 -0.170 6.325 Sb
-4.929 3.550 -1.720 Sb
-5.974 -2.552 2.054 Sb
-1.634 -1.033 -0.188 Dy
-3.705 3.224 3.304 Dy
-2.481 5.039 6.046 Dy
-9.999 2.056 2.278 Dy
-7.279 0.156 1.301 Dy
-8.504 -1.658 -1.440 Dy
-5.928 5.219 5.795 Dy
-5.057 -1.839 -1.189 Dy
-6.849 3.783 1.130 Dy
-4.135 -0.403 3.476 Dy
-9.350 4.413 4.794 Dy
-0.985 1.324 2.328 Dy
-6.791 1.993 4.213 Y
-4.193 1.387 0.393 Y
-9.239 1.995 -1.049 Y
-1.746 1.385 5.655 Y
```

Output
* final energy: -5.234 eV per atom
* space group: P2_1/c (14)
* ΔE_f (raw): -1.78 eV/f.u.

(8)
The following is a PBE calculation of an optimized crystal structure of Dy4Y3Sb4, from the Alexandria database.

Cell and atoms, written as POSCAR:
```
Dy4Y3Sb4
1.0
-0.072 4.008 0.535
-2.719 1.104 -8.648
-6.859 -3.043 6.590
Y Sb Dy
3 4 4
Cartesian
-8.002 2.167 -2.029 Y
-1.648 -0.097 0.506 Y
-1.360 0.552 -4.324 Y
-5.740 0.294 -2.980 Sb
-0.602 2.234 -1.534 Sb
-2.189 2.879 -6.580 Sb
-3.910 1.776 1.456 Sb
-5.963 -0.120 0.100 Dy
-3.688 2.191 -1.623 Dy
-4.680 2.594 -4.779 Dy
-4.971 -0.523 3.256 Dy
```

Output
* final energy: -5.709 eV per atom
* space group: Immm (71)
* ΔE_f (raw): -8.51 eV/f.u.

Copy entry 5 word for word.
The following is a PBE calculation of an optimized crystal structure of Dy5Y5Sb6, from the Alexandria database.

Cell and atoms, written as POSCAR:
```
Dy5Y5Sb6
1.0
6.317 0.000 0.000
0.000 7.811 -4.455
0.000 -0.046 8.992
Sb Y Dy
6 5 5
Cartesian
3.159 3.018 1.763 Sb
0.000 3.036 -1.731 Sb
3.159 7.782 1.041 Sb
0.000 -0.017 3.495 Sb
3.159 4.728 6.268 Sb
0.000 4.745 2.772 Sb
3.159 -0.010 2.224 Y
0.000 5.879 -3.353 Y
0.000 -0.034 6.768 Y
3.159 5.840 3.412 Y
3.159 1.933 -1.101 Y
0.000 1.923 1.124 Dy
1.579 2.573 4.510 Dy
1.579 5.192 0.027 Dy
4.738 5.192 0.027 Dy
4.738 2.573 4.510 Dy
```

Output
* final energy: -5.951 eV per atom
* space group: Amm2 (38)
* ΔE_f (raw): -15.16 eV/f.u.

Which value of final energy does entry 3 give?
-5.330 eV per atom

The highest ΔE_f (raw) belongs to which entry?
Dy3YSb

What is the formula in the second record?
Dy5Y3Sb8